Density functional theory data (PBE) for a geometry-optimized ZrW structure.

a b c (Å): 4.9340 11.2569 5.5343
angles (deg): 90.00 90.00 90.00
Closest atoms and distances in Å follow each position.
Positions (direct):
Zr1 0.2500 0.0095 0.1363  3 W 2.72-2.96, 3 Zr 2.90-2.94
Zr2 0.2500 0.4905 0.1363  3 W 2.72-2.96, 3 Zr 2.90-2.94
Zr3 0.2500 0.6156 0.6031  7 W 2.91-3.20, 4 Zr 2.94-3.10
Zr4 0.2500 0.8844 0.6031  7 W 2.91-3.20, 4 Zr 2.94-3.10
Zr5 0.7500 0.1156 0.3969  7 W 2.91-3.20, 4 Zr 2.94-3.10
Zr6 0.7500 0.3844 0.3969  7 W 2.91-3.20, 4 Zr 2.94-3.10
Zr7 0.7500 0.5095 0.8637  3 W 2.72-2.96, 3 Zr 2.90-2.94
Zr8 0.7500 0.9905 0.8637  3 W 2.72-2.96, 3 Zr 2.90-2.94
W1 0.2500 0.1406 0.6727  1 W 2.46
W2 0.2500 0.2500 0.1882  2 Zr 2.72, 4 W 2.92-2.95
W3 0.2500 0.3594 0.6727  1 W 2.46
W4 0.2500 0.7500 0.0937  6 W 2.92-3.05, 6 Zr 2.93-3.20
W5 0.7500 0.2500 0.9063  6 W 2.92-3.05, 6 Zr 2.93-3.20
W6 0.7500 0.6406 0.3273  1 W 2.46
W7 0.7500 0.7500 0.8118  2 Zr 2.72, 4 W 2.92-2.95
W8 0.7500 0.8594 0.3273  1 W 2.46

Properties
ρ	11.89	g/cm3
E_form	0.347	eV per atom
energy	-10.41	eV per atom



Density functional theory data (PBE) for a geometry-optimized BaTlHgAu structure.

a b c (Å): 5.4774 5.4774 5.4774
angles (deg): 60.00 60.00 60.00
Closest atoms and distances in Å follow each position.
Positions (direct):
Ba1 0.0000 0.0000 0.0000  4 Hg 3.35, 4 Au 3.35
Tl1 0.5000 0.5000 0.5000  4 Hg 3.35, 4 Au 3.35
Hg1 0.7500 0.7500 0.7500  4 Tl 3.35, 4 Ba 3.35
Au1 0.2500 0.2500 0.2500  4 Ba 3.35, 4 Tl 3.35

Properties
ρ	10.56	g/cm3
ΔE to the lowest computed polymorph	0.000	eV per atom
energy	-2.37	eV per atom